Record 1
# Os2PtW, relaxed, DFT PBE
data_Os2PtW
_cell_length_a 6.267
_cell_length_b 6.267
_cell_length_c 6.267
_cell_angle_alpha 90.00
_cell_angle_beta 90.00
_cell_angle_gamma 90.00
_space_group_name_H-M_alt 'F -4 3 m'
_space_group_IT_number 216
_space_group_name_Hall 'F -4 2 3'
loop_
_atom_site_label
_atom_site_type_symbol
_atom_site_fract_x
_atom_site_fract_y
_atom_site_fract_z
Os1 Os 0.000 0.000 0.000
Os2 Os 0.250 0.250 0.250
Pt1 Pt 0.250 0.250 0.750
W1 W 0.000 0.000 0.500
# Relative energy among the computed polymorphs   2.37 eV per formula unit
# Calculated total energy   -157.6 eV for the cell shown

***

Record 2
# OsPtW2, relaxed, DFT PBE
data_OsPtW2
_cell_length_a 6.327
_cell_length_b 6.327
_cell_length_c 6.327
_cell_angle_alpha 90.00
_cell_angle_beta 90.00
_cell_angle_gamma 90.00
_space_group_name_H-M_alt 'F m -3 m'
_space_group_IT_number 225
_space_group_name_Hall '-F 4 2 3'
loop_
_atom_site_label
_atom_site_type_symbol
_atom_site_fract_x
_atom_site_fract_y
_atom_site_fract_z
Os1 Os 0.000 0.000 0.000
Pt1 Pt 0.000 0.000 0.500
W1 W 0.250 0.250 0.250
# Relative energy among the computed polymorphs   2.20 eV per formula unit
# Calculated total energy   -166.2 eV for the cell shown

***

Record 3
# OsPtW2, relaxed, DFT PBE
data_OsPtW2
_cell_length_a 9.220
_cell_length_b 2.819
_cell_length_c 4.853
_cell_angle_alpha 90.00
_cell_angle_beta 100.08
_cell_angle_gamma 90.00
_space_group_name_H-M_alt 'C 1 m 1'
_space_group_IT_number 8
_space_group_name_Hall 'C -2y'
loop_
_atom_site_label
_atom_site_type_symbol
_atom_site_fract_x
_atom_site_fract_y
_atom_site_fract_z
Os1 Os 0.000 0.000 0.000
Pt1 Pt 0.253 0.500 0.281
W1 W 0.002 0.500 0.502
W2 W 0.257 0.000 0.789
# Relative energy among the computed polymorphs   0.55 eV per formula unit
# Calculated total energy   -86.4 eV for the cell shown

***

Record 4
# OsPt2W, relaxed, DFT PBE
data_OsPt2W
_cell_length_a 3.966
_cell_length_b 3.966
_cell_length_c 7.764
_cell_angle_alpha 90.00
_cell_angle_beta 90.00
_cell_angle_gamma 90.00
_space_group_name_H-M_alt 'I -4 m 2'
_space_group_IT_number 119
_space_group_name_Hall 'I -4 -2'
loop_
_atom_site_label
_atom_site_type_symbol
_atom_site_fract_x
_atom_site_fract_y
_atom_site_fract_z
Os1 Os 0.000 0.000 0.000
Pt1 Pt 0.000 0.000 0.500
Pt2 Pt 0.000 0.500 0.250
W1 W 0.000 0.500 0.750
# Relative energy among the computed polymorphs   0.00 eV per formula unit
# Calculated total energy   -73.4 eV for the cell shown

***

Record 5
# Os2PtW, relaxed, DFT PBE
data_Os2PtW
_cell_length_a 2.7636
_cell_length_b 2.7636
_cell_length_c 27.4079
_cell_angle_alpha 90.00
_cell_angle_beta 90.00
_cell_angle_gamma 120.00
_space_group_name_H-M_alt 'R -3 m'
_space_group_IT_number 166
_space_group_name_Hall '-R 3 2"'
loop_
_atom_site_label
_atom_site_type_symbol
_atom_site_fract_x
_atom_site_fract_y
_atom_site_fract_z
Os1 Os 0.0000 0.0000 0.2485
Pt1 Pt 0.0000 0.0000 0.0000
W1 W 0.0000 0.0000 0.5000
# Relative energy among the computed polymorphs   0.78 eV per formula unit
# Calculated total energy   -123.0 eV for the cell shown

***

Record 6
# Os2PtW, relaxed, DFT PBE
data_Os2PtW
_cell_length_a 3.938
_cell_length_b 3.938
_cell_length_c 3.847
_cell_angle_alpha 90.00
_cell_angle_beta 90.00
_cell_angle_gamma 90.00
_space_group_name_H-M_alt 'P 4/m m m'
_space_group_IT_number 123
_space_group_name_Hall '-P 4 2'
loop_
_atom_site_label
_atom_site_type_symbol
_atom_site_fract_x
_atom_site_fract_y
_atom_site_fract_z
Os1 Os 0.000 0.500 0.000
Pt1 Pt 0.000 0.000 0.500
W1 W 0.500 0.500 0.500
# Relative energy among the computed polymorphs   0.00 eV per formula unit
# Calculated total energy   -41.8 eV for the cell shown

***

Record 7
# Os2PtW, relaxed, DFT PBE
data_Os2PtW
_cell_length_a 5.580
_cell_length_b 5.596
_cell_length_c 7.683
_cell_angle_alpha 90.00
_cell_angle_beta 90.00
_cell_angle_gamma 90.00
_space_group_name_H-M_alt 'F m m m'
_space_group_IT_number 69
_space_group_name_Hall '-F 2 2'
loop_
_atom_site_label
_atom_site_type_symbol
_atom_site_fract_x
_atom_site_fract_y
_atom_site_fract_z
Os1 Os 0.250 0.250 0.250
Pt1 Pt 0.000 0.000 0.000
W1 W 0.000 0.000 0.500
# Relative energy among the computed polymorphs   0.33 eV per formula unit
# Calculated total energy   -165.7 eV for the cell shown

***

Record 8
# OsPt2W, relaxed, DFT PBE
data_OsPt2W
_cell_length_a 2.791
_cell_length_b 2.791
_cell_length_c 7.924
_cell_angle_alpha 90.00
_cell_angle_beta 90.00
_cell_angle_gamma 90.00
_space_group_name_H-M_alt 'P 4 m m'
_space_group_IT_number 99
_space_group_name_Hall 'P 4 -2'
loop_
_atom_site_label
_atom_site_type_symbol
_atom_site_fract_x
_atom_site_fract_y
_atom_site_fract_z
Os1 Os 0.000 0.000 0.000
Pt1 Pt 0.000 0.000 0.518
Pt2 Pt 0.500 0.500 0.249
W1 W 0.500 0.500 0.766
# Relative energy among the computed polymorphs   0.14 eV per formula unit
# Calculated total energy   -36.6 eV for the cell shown

***

Short version: total magnetic moment = 0.00, 0.00, 0.00, 0.00, 0.00, 0.00, 0.00, 0.00 μB/f.u., in the order given.
Short version: ΔE_f = 0.516, 0.407, -0.005, -0.111, 0.117, -0.077, 0.004, -0.076 eV per atom, in the order given.